Compound: Pm3ScBi4
Source: Alexandria
Functional: GGA-PBE
Structure: relaxed

size of the total moment = 0.0 Bohr magnetons per cell
formation energy = -0.850 eV/atom

Lattice parameters (Å, degrees): 4.512 7.806 7.806 109.51 90.00 90.00
Element x y z (fractional)
Bi 0.000 0.236 0.236
Pm 0.500 0.500 0.500
Bi 0.500 0.757 0.243
Pm 0.000 0.500 0.000
Bi 0.000 0.764 0.764
Bi 0.500 0.243 0.757
Pm 0.000 0.000 0.500
Sc 0.500 0.000 0.000


Compound: Cs8KAu3
Source: Alexandria
Functional: GGA-PBE
Structure: relaxed

size of the total moment = 0.0 Bohr magnetons per cell
formation energy = -0.135 eV/atom

Lattice parameters (Å, degrees): 10.631 10.631 11.553 62.61 62.61 60.00
Element x y z (fractional)
Cs 0.772 0.259 0.198
Au 0.500 0.000 0.000
Cs 0.228 0.741 0.802
Cs 0.741 0.228 0.802
Cs 0.264 0.264 0.208
Cs 0.772 0.772 0.198
Cs 0.259 0.772 0.198
Au 0.000 0.500 0.000
Au 0.500 0.500 0.000
K 0.500 0.500 0.500
Cs 0.736 0.736 0.792
Cs 0.228 0.228 0.802


Compound: Na2PuCdCl8
Source: Alexandria
Functional: GGA-PBE
Structure: relaxed

energy relative to the elements, uncorrected = -1.552 eV/atom
size of the total moment = 4.0 Bohr magnetons per cell

Lattice parameters (Å, degrees): 6.534 6.344 8.355 90.00 90.00 95.02
Site moments in Bohr magnetons follow the coordinates.
Element x y z (fractional)
Cl 0.323 0.267 0.000  -0.06
Cl 0.677 0.733 0.000  -0.06
Cd 0.000 0.000 0.500  0.00
Cl 0.161 0.787 0.770  -0.05
Na 0.500 0.500 0.740  0.00
Pu 0.000 0.000 0.000  4.36
Na 0.500 0.500 0.260  0.00
Cl 0.839 0.213 0.770  -0.05
Cl 0.697 0.739 0.500  0.00
Cl 0.161 0.787 0.230  -0.05
Cl 0.303 0.261 0.500  0.00
Cl 0.839 0.213 0.230  -0.05


Compound: Li2InB
Source: Alexandria
Functional: GGA-PBE
Structure: relaxed

size of the total moment = 0.0 Bohr magnetons per cell
formation energy = 0.429 eV/atom

Lattice parameters (Å, degrees): 4.260 4.260 4.260 60.00 60.00 60.00
Element x y z (fractional)
In 0.500 0.500 0.500
B 0.000 0.000 0.000
Li 0.750 0.750 0.750
Li 0.250 0.250 0.250


Q: Which value of size of the total moment does entry 3 give?
A: 4.0 Bohr magnetons per cell


Q: What is the size of the total moment in the second record?
A: 0.0 Bohr magnetons per cell


Please write out number 1 again, unchanged.
Compound: Pm3ScBi4
Source: Alexandria
Functional: GGA-PBE
Structure: relaxed

size of the total moment = 0.0 Bohr magnetons per cell
formation energy = -0.850 eV/atom

Lattice parameters (Å, degrees): 4.512 7.806 7.806 109.51 90.00 90.00
Element x y z (fractional)
Bi 0.000 0.236 0.236
Pm 0.500 0.500 0.500
Bi 0.500 0.757 0.243
Pm 0.000 0.500 0.000
Bi 0.000 0.764 0.764
Bi 0.500 0.243 0.757
Pm 0.000 0.000 0.500
Sc 0.500 0.000 0.000